Density functional theory data (PBE-GGA) for an optimized crystal structure of CaMgZr2.

Output
ΔH_f (0 K), eV per atom: 0.24
Total moment, μB per atom: 0.00

Unit cell a=3.132 b=5.732 c=5.716 alpha=90.00 beta=95.77 gamma=90.00
Space group P2/m (No. 10)
Unique sites:
Ca 0.000 0.000 0.000 x1
Mg 0.500 0.000 0.500 x1
Zr 0.278 0.500 0.729 x2